Below is crystalline KAl2AgGe at its relaxed geometry, with properties calculated at the PBE-GGA level.

Output
ΔH_f (0 K): 0.542 eV/atom
Space group: P4/mmm
E_tot: -2.668 eV per atom

Cell lengths 4.9556, 4.9556, 6.2291 Å; angles 90.00, 90.00, 90.00 degrees
Closest atoms and distances in Å follow each position.
Element x y z (fractional)
1 K 0.0000 0.0000 0.0000  2 Ge 3.11
2 Al 0.0000 0.5000 0.5000  2 Ge 2.48
3 Al 0.5000 0.0000 0.5000  2 Ge 2.48
4 Ag 0.5000 0.5000 0.0000  4 K 3.50
5 Ge 0.0000 0.0000 0.5000  4 Al 2.48

---

Below is crystalline RbInI2F at its relaxed geometry, with properties calculated at the PBE-GGA level.

Output
ΔE_f (raw): -1356 meV/atom
Space group: P4/mmm
E_tot: -3.092 eV per atom

Cell lengths 6.2480, 6.2480, 4.5699 Å; angles 90.00, 90.00, 90.00 degrees
Closest atoms and distances in Å follow each position.
Element x y z (fractional)
1 Rb 0.0000 0.0000 0.0000  8 I 3.87
2 In 0.5000 0.5000 0.5000  2 F 2.28
3 I 0.0000 0.5000 0.5000  2 In 3.12
4 I 0.5000 0.0000 0.5000  2 In 3.12
5 F 0.5000 0.5000 0.0000  2 In 2.28

---

- The highest E_tot belongs to which entry?
  KAl2AgGe

---

- Which of these has the highest E_tot?
  KAl2AgGe

---

- E_tot of number 1 (KAl2AgGe)?
  -2.668 eV per atom